Hf3Mo2Pd, relaxed, DFT PBE; ΔH_f (0 K) = -0.304 eV/atom; DFT total energy = -9.76 eV/atom
1.0
3.3067 0.0000 0.0000
0.0000 4.5144 -1.4945
0.0000 -0.0718 7.3486
Hf Mo Pd
3 2 1
Direct
0.5000 0.5000 0.0000 Hf
0.5000 0.8302 0.6604 Hf
0.5000 0.1698 0.3396 Hf
0.0000 0.3346 0.6691 Mo
0.0000 0.6654 0.3309 Mo
0.0000 0.0000 0.0000 Pd